## LaSi2Se (GGA-PBE)

Data for crystalline LaSi2Se at its relaxed geometry.

Calculated values
SG = Pm, No. 6
Formation energy (no corrections) = -619 meV per atom
N(E_F) = 0.454 states/eV per atom
E = -21.73 eV per cell

a b c (Å): 4.041 4.314 6.190
angles (deg): 68.69 90.00 90.00
Positions (direct):
1 La 0.000 0.432 0.511
2 Si 0.500 0.082 0.258
3 Si 0.000 0.140 0.063
4 Se 0.500 0.846 0.668

***

## LaSiSe (GGA-PBE)

Data for crystalline LaSiSe at its relaxed geometry.

Calculated values
SG = R-3m, No. 166
Formation energy (no corrections) = -1071 meV per atom
N(E_F) = 0.207 states/eV per atom
E = -34.10 eV per cell
Offset from the most stable computed form = 0.0 meV per atom

a b c (Å): 4.225 4.225 11.826
angles (deg): 79.71 79.71 60.00
Positions (direct):
1 Se 0.718 0.718 0.845
2 Se 0.282 0.282 0.155
3 Si 0.842 0.842 0.474
4 Si 0.158 0.158 0.526
5 La 0.429 0.429 0.713
6 La 0.571 0.571 0.287

***

## LaSiSe4 (GGA-PBE)

Data for crystalline LaSiSe4 at its relaxed geometry.

Calculated values
SG = F-43m, No. 216
Formation energy (no corrections) = 12 meV per atom
N(E_F) = 1.308 states/eV per atom
E = -24.22 eV per cell
Offset from the most stable computed form = 914.5 meV per atom

a b c (Å): 5.784 5.784 5.784
angles (deg): 60.00 60.00 60.00
Positions (direct):
1 Se 0.375 0.375 0.875
2 Se 0.375 0.875 0.375
3 Se 0.375 0.375 0.375
4 Se 0.875 0.375 0.375
5 Si 0.750 0.750 0.750
6 La 0.000 0.000 0.000

***

## LaSi2Se (GGA-PBE)

Data for crystalline LaSi2Se at its relaxed geometry.

Calculated values
SG = F-43m, No. 216
Formation energy (no corrections) = -225 meV per atom
N(E_F) = 0.658 states/eV per atom
E = -20.16 eV per cell

a b c (Å): 5.014 5.014 5.014
angles (deg): 60.00 60.00 60.00
Positions (direct):
1 La 0.500 0.500 0.500
2 Si 0.000 0.000 0.000
3 Si 0.250 0.250 0.250
4 Se 0.750 0.750 0.750

***

## LaSi4Se (GGA-PBE)

Data for crystalline LaSi4Se at its relaxed geometry.

Calculated values
SG = F-43m, No. 216
Formation energy (no corrections) = -175 meV per atom
N(E_F) = 0.420 states/eV per atom
E = -31.15 eV per cell

a b c (Å): 5.383 5.383 5.383
angles (deg): 60.00 60.00 60.00
Positions (direct):
1 Si 0.374 0.879 0.374
2 Si 0.879 0.374 0.374
3 Si 0.374 0.374 0.374
4 Si 0.374 0.374 0.879
5 La 0.750 0.750 0.750
6 Se 0.000 0.000 0.000

***

## LaSiSe2 (GGA-PBE)

Data for crystalline LaSiSe2 at its relaxed geometry.

Calculated values
SG = R-3m, No. 166
Formation energy (no corrections) = -681 meV per atom
N(E_F) = 0.526 states/eV per atom
E = -20.04 eV per cell

a b c (Å): 8.844 8.844 8.844
angles (deg): 28.22 28.22 28.22
Positions (direct):
1 Se 0.101 0.101 0.101
2 Se 0.899 0.899 0.899
3 Si 0.000 0.000 0.000
4 La 0.500 0.500 0.500

***

## La5Si2Se2 (GGA-PBE)

Data for crystalline La5Si2Se2 at its relaxed geometry.

Calculated values
SG = Cmce, No. 64
Formation energy (no corrections) = -1205 meV per atom
N(E_F) = 0.865 states/eV per atom
E = -106.60 eV per cell

a b c (Å): 8.014 8.067 8.650
angles (deg): 90.00 62.40 90.00
Positions (direct):
1 La 0.190 0.171 0.271
2 La 0.961 0.329 0.729
3 La 0.461 0.171 0.729
4 La 0.690 0.329 0.271
5 La 0.310 0.671 0.729
6 La 0.000 0.000 0.000
7 La 0.500 0.500 0.000
8 La 0.539 0.829 0.271
9 La 0.810 0.829 0.729
10 La 0.039 0.671 0.271
11 Se 0.299 0.500 0.402
12 Se 0.799 0.000 0.402
13 Se 0.201 0.000 0.598
14 Se 0.701 0.500 0.598
15 Si 0.614 0.115 0.000
16 Si 0.114 0.385 0.000
17 Si 0.386 0.885 0.000
18 Si 0.886 0.615 0.000

***

## LaSi2Se (GGA-PBE)

Data for crystalline LaSi2Se at its relaxed geometry.

Calculated values
SG = P2/m, No. 10
Formation energy (no corrections) = -434 meV per atom
N(E_F) = 0.611 states/eV per atom
E = -21.00 eV per cell

a b c (Å): 5.230 4.475 4.045
angles (deg): 89.01 90.00 90.00
Positions (direct):
1 La 0.500 0.250 0.250
2 Si 0.000 0.903 0.990
3 Si 0.000 0.597 0.510
4 Se 0.500 0.750 0.750

***

## La2SiSe (GGA-PBE)

Data for crystalline La2SiSe at its relaxed geometry.

Calculated values
SG = I-42d, No. 122
Formation energy (no corrections) = -859 meV per atom
N(E_F) = 0.000 states/eV per atom
E = -44.40 eV per cell
Offset from the most stable computed form = 508.2 meV per atom

a b c (Å): 6.658 6.658 8.503
angles (deg): 66.95 66.95 90.00
Positions (direct):
1 La 0.614 0.125 0.250
2 La 0.875 0.864 0.750
3 La 0.136 0.625 0.250
4 La 0.375 0.386 0.750
5 Si 0.500 0.500 0.000
6 Si 0.250 0.750 0.500
7 Se 0.000 0.000 0.000
8 Se 0.750 0.250 0.500

***

## LaSi2Se (GGA-PBE)

Data for crystalline LaSi2Se at its relaxed geometry.

Calculated values
SG = C2/m, No. 12
Formation energy (no corrections) = -367 meV per atom
N(E_F) = 0.740 states/eV per atom
E = -20.73 eV per cell

a b c (Å): 6.128 6.128 4.165
angles (deg): 70.65 70.65 123.12
Positions (direct):
1 Si 0.500 0.500 0.000
2 Si 0.000 0.000 0.000
3 Se 0.000 0.500 0.500
4 La 0.500 0.000 0.500

***

## La2SiSe (GGA-PBE)

Data for crystalline La2SiSe at its relaxed geometry.

Calculated values
SG = R-3m, No. 166
Formation energy (no corrections) = -1342 meV per atom
N(E_F) = 0.580 states/eV per atom
E = -24.13 eV per cell
Offset from the most stable computed form = 25.2 meV per atom

a b c (Å): 7.608 7.608 7.608
angles (deg): 33.36 33.36 33.36
Positions (direct):
1 Si 0.750 0.750 0.750
2 La 0.003 0.003 0.003
3 La 0.497 0.497 0.497
4 Se 0.250 0.250 0.250

***

## LaSi2Se (GGA-PBE)

Data for crystalline LaSi2Se at its relaxed geometry.

Calculated values
SG = Imm2, No. 44
Formation energy (no corrections) = -461 meV per atom
N(E_F) = 0.367 states/eV per atom
E = -21.10 eV per cell

a b c (Å): 5.550 5.550 5.550
angles (deg): 135.50 126.69 71.89
Positions (direct):
1 Se 0.714 0.214 0.500
2 La 0.468 0.468 0.000
3 Si 0.223 0.723 0.500
4 Si 0.094 0.094 0.000